A relaxed structure of LaPmHoMg. Source: Alexandria via LeMat-Bulk, functional GGA-PBE.

```
LaPmHoMg
1.0
-0.3497 -1.9112 -5.2871
-3.8684 -3.8664 -1.3471
-4.3967 1.4187 -3.2226
Ho Mg La Pm
1 1 1 1
Direct
0.5000 0.5000 0.5000
0.0000 0.0000 0.0000
0.7500 0.7500 0.7500
0.2500 0.2500 0.2500
```

Summary:
Excess energy over the best structure of this formula in the dataset, meV per atom: 40

=====

A relaxed structure of LaPmHoMg. Source: Alexandria via LeMat-Bulk, functional GGA-PBE.

```
LaPmHoMg
1.0
-3.6107 0.0399 -1.0273
0.8074 -2.2123 -2.9238
-1.5132 -7.2115 5.0387
Mg La Pm Ho
1 1 1 1
Direct
0.0000 0.0000 0.5638
0.0000 0.0000 0.0773
0.5000 0.5000 0.7916
0.5000 0.5000 0.3520
```

Summary:
Excess energy over the best structure of this formula in the dataset, meV per atom: 0

=====

A relaxed structure of La6Pm2HoMg. Source: Alexandria via LeMat-Bulk, functional GGA-PBE.

```
La6Pm2HoMg
1.0
8.9950 -2.0873 -2.1662
0.9488 8.6405 -1.0300
0.9488 -1.3495 8.5964
Pm La Ho Mg
4 12 2 2
Direct
0.0920 0.2645 0.1986
0.5920 0.1986 0.2645
0.9080 0.7355 0.8014
0.4080 0.8014 0.7355
0.6745 0.9676 0.5418
0.4004 0.5647 0.3211
0.9004 0.3211 0.5647
0.8255 0.4582 0.0324
0.0826 0.0798 0.7470
0.9174 0.9202 0.2530
0.1745 0.5418 0.9676
0.4174 0.2530 0.9202
0.5996 0.4353 0.6789
0.0996 0.6789 0.4353
0.3255 0.0324 0.4582
0.5826 0.7470 0.0798
0.7500 0.0691 0.9309
0.2500 0.9309 0.0691
0.7500 0.5958 0.4042
0.2500 0.4042 0.5958
```

=====

For the records above, the corresponding formation energy values read 0.01, -0.03, 0.09 eV per atom.
For the records above, the corresponding DFT total energy values read -15.80, -15.96, -88.69 eV/cell.
For the records above, the corresponding calculated volume values read 126.37, 125.81, 695.22 Å³/cell.